Compound: LuGa2Pb
Source: the Alexandria database
Functional: GGA-PBE
Structure: relaxed

Summary:
Calculated total energy ... -3.8698 eV per atom
DFT formation energy ... -115 kJ/mol of formula units
Relative energy among the computed polymorphs ... 0.0 meV per atom

Cell: 4.5866 4.5866 4.2306 Å, 90.00 90.00 90.00°
With the nearest neighbours (Å) after each atom.
Space group P4/mmm (No. 123)
Symmetry-distinct sites (fractional):
Lu: 0.0000 0.0000 0.0000 [1 per cell]  8 Ga 3.12, 4 Pb 3.24
Ga: 0.0000 0.5000 0.5000 [2 per cell]  4 Pb 3.12, 4 Lu 3.12, 4 Ga 3.24
Pb: 0.5000 0.5000 0.0000 [1 per cell]  8 Ga 3.12, 4 Lu 3.24